Entry 1:
Material: NiOsSe2
Method: DFT, PBE
State: optimized geometry

Properties
SG: P4mm, No. 99
Energy relative to the lowest polymorph listed for this composition (meV per atom): 130.1
Calculated total energy (eV per cell): -23.401
Fermi-level density of states (states/eV/atom): 0.7115
M_tot (μB/cell): 0.000

Unit cell a=3.1171 b=3.1171 c=7.5895 alpha=90.00 beta=90.00 gamma=90.00
Positions (direct):
Ni 0.0000 0.0000 0.0000
Os 0.5000 0.5000 0.2262
Se 0.0000 0.0000 0.4028
Se 0.5000 0.5000 0.8808

***

Entry 2:
Material: NiOsSe2
Method: DFT, PBE
State: optimized geometry

Properties
SG: Fm-3m, No. 225
Energy relative to the lowest polymorph listed for this composition (meV per atom): 433.0
Calculated total energy (eV per cell): -22.190
Fermi-level density of states (states/eV/atom): 0.5753
M_tot (μB/cell): 0.000

Unit cell a=4.3890 b=4.3890 c=4.3890 alpha=60.00 beta=60.00 gamma=60.00
Positions (direct):
Ni 0.0000 0.0000 0.0000
Os 0.5000 0.5000 0.5000
Se 0.2500 0.2500 0.2500
Se 0.7500 0.7500 0.7500

***

Entry 3:
Material: NiOs3Se
Method: DFT, PBE
State: optimized geometry

Properties
SG: Pm-3m, No. 221
Energy relative to the lowest polymorph listed for this composition (meV per atom): 122.3
Calculated total energy (eV per cell): -32.325
Fermi-level density of states (states/eV/atom): 1.8024
M_tot (μB/cell): 1.221

Unit cell a=4.4593 b=4.4593 c=4.4593 alpha=90.00 beta=90.00 gamma=90.00
Positions (direct):
Ni 0.0000 0.0000 0.0000
Os 0.0000 0.0000 0.5000
Os 0.0000 0.5000 0.0000
Os 0.5000 0.0000 0.0000
Se 0.5000 0.5000 0.5000

***

Entry 4:
Material: NiOsSe2
Method: DFT, PBE
State: optimized geometry

Properties
SG: Pm, No. 6
Energy relative to the lowest polymorph listed for this composition (meV per atom): 0.0
Calculated total energy (eV per cell): -23.922
Fermi-level density of states (states/eV/atom): 0.8846
M_tot (μB/cell): 0.000

Unit cell a=3.7530 b=3.7510 c=5.7712 alpha=90.00 beta=90.22 gamma=90.00
Positions (direct):
Ni 0.0000 0.0000 0.0000
Os 0.4998 0.5000 0.9994
Se 0.5016 0.0000 0.2678
Se 0.9983 0.5000 0.7312

***

Entry 5:
Material: NiOsSe2
Method: DFT, PBE
State: optimized geometry

Properties
SG: Imm2, No. 44
Energy relative to the lowest polymorph listed for this composition (meV per atom): 529.0
Calculated total energy (eV per cell): -21.806
Fermi-level density of states (states/eV/atom): 1.0232
M_tot (μB/cell): 0.000

Unit cell a=5.4538 b=5.4538 c=5.4538 alpha=148.15 beta=132.06 gamma=58.71
Positions (direct):
Ni 0.0000 0.0000 0.0000
Os 0.2643 0.7643 0.5000
Se 0.4774 0.4774 0.0000
Se 0.7630 0.2630 0.5000

***

Entry 6:
Material: Ni2TeOsSe
Method: DFT, PBE
State: optimized geometry

Properties
SG: P4/mmm, No. 123
Calculated total energy (eV per cell): -24.582
Fermi-level density of states (states/eV/atom): 1.2635
M_tot (μB/cell): 1.113

Unit cell a=4.7774 b=4.7774 c=4.5227 alpha=90.00 beta=90.00 gamma=90.00
Positions (direct):
Ni 0.0000 0.5000 0.0000
Ni 0.5000 0.0000 0.0000
Te 0.0000 0.0000 0.5000
Os 0.5000 0.5000 0.0000
Se 0.5000 0.5000 0.5000

***

Entry 7:
Material: ZrNiOsSe2
Method: DFT, PBE
State: optimized geometry

Properties
SG: P4/mmm, No. 123
Calculated total energy (eV per cell): -29.875
Fermi-level density of states (states/eV/atom): 0.8646
M_tot (μB/cell): 0.000

Unit cell a=4.6234 b=4.6234 c=4.4696 alpha=90.00 beta=90.00 gamma=90.00
Positions (direct):
Zr 0.0000 0.0000 0.0000
Ni 0.5000 0.5000 0.5000
Os 0.5000 0.5000 0.0000
Se 0.0000 0.5000 0.5000
Se 0.5000 0.0000 0.5000

***

Entry 8:
Material: Si2NiOs
Method: DFT, PBE
State: optimized geometry

Properties
SG: R3m, No. 160
Calculated total energy (eV per cell): -28.767
Fermi-level density of states (states/eV/atom): 0.2402
M_tot (μB/cell): 0.000

Unit cell a=4.9050 b=4.9050 c=4.9050 alpha=45.26 beta=45.26 gamma=45.26
Positions (direct):
Si 0.0000 0.0000 0.0000
Si 0.1832 0.1832 0.1832
Ni 0.6004 0.6004 0.6004
Os 0.4041 0.4041 0.4041

***

Entry 9:
Material: Si2NiOs2
Method: DFT, PBE
State: optimized geometry

Properties
SG: P4/mbm, No. 127
Calculated total energy (eV per cell): -79.214
Fermi-level density of states (states/eV/atom): 0.6569
M_tot (μB/cell): 0.000

Unit cell a=6.8807 b=6.8807 c=2.8264 alpha=90.00 beta=90.00 gamma=90.00
Positions (direct):
Si 0.1464 0.3536 0.0000
Si 0.3536 0.8536 0.0000
Si 0.6464 0.1464 0.0000
Si 0.8536 0.6464 0.0000
Ni 0.0000 0.0000 0.0000
Ni 0.5000 0.5000 0.0000
Os 0.1526 0.6526 0.5000
Os 0.3474 0.1526 0.5000
Os 0.6526 0.8474 0.5000
Os 0.8474 0.3474 0.5000

***

Entry 10:
Material: SiNiOs2
Method: DFT, PBE
State: optimized geometry

Properties
SG: Pmm2, No. 25
Calculated total energy (eV per cell): -33.731
Fermi-level density of states (states/eV/atom): 0.6533
M_tot (μB/cell): 0.000

Unit cell a=2.7586 b=3.6834 c=5.1732 alpha=90.00 beta=90.00 gamma=90.00
Positions (direct):
Si 0.0000 0.0000 0.0000
Ni 0.5000 0.5000 0.2154
Os 0.0000 0.0000 0.4778
Os 0.5000 0.5000 0.7210

***

Entry 11:
Material: SiNiOs2
Method: DFT, PBE
State: optimized geometry

Properties
SG: P4/mmm, No. 123
Calculated total energy (eV per cell): -34.114
Fermi-level density of states (states/eV/atom): 0.6426
M_tot (μB/cell): 0.000

Unit cell a=4.1691 b=4.1691 c=2.9225 alpha=90.00 beta=90.00 gamma=90.00
Positions (direct):
Si 0.0000 0.0000 0.0000
Ni 0.5000 0.5000 0.0000
Os 0.0000 0.5000 0.5000
Os 0.5000 0.0000 0.5000

***

Entry 12:
Material: Si2NiOs
Method: DFT, PBE
State: optimized geometry

Properties
SG: Imm2, No. 44
Calculated total energy (eV per cell): -28.587
Fermi-level density of states (states/eV/atom): 0.3683
M_tot (μB/cell): 0.000

Unit cell a=4.8153 b=4.8153 c=4.8153 alpha=142.44 beta=132.23 gamma=62.30
Positions (direct):
Si 0.0000 0.0000 0.0000
Si 0.7379 0.2379 0.5000
Ni 0.2138 0.7138 0.5000
Os 0.4878 0.4878 0.0000

***

Let's list uncorrected formation energy in order: 0.1447, 0.4476, 2.1260, 0.0146, 0.5436, 0.9673, 0.5307, -0.2275, -0.1040, -0.0168, -0.1126, -0.1825 eV per atom.